AlOs4Ru after structural relaxation, computed with PBE.

Unit cell a=5.107 b=5.107 c=5.107 alpha=60.00 beta=60.00 gamma=60.00
Fractional coordinates of all 6 atoms:
Al 0.000 0.000 0.000
Os 0.874 0.375 0.375
Os 0.375 0.375 0.874
Os 0.375 0.874 0.375
Os 0.375 0.375 0.375
Ru 0.750 0.750 0.750

## Properties
Crystal system ... cubic
Energy of formation from the pure elements ... 661.4 meV per atom
Space group ... F-43m
Magnetic moment ... 1.0 μB/f.u.
V ... 15.7 Å³ per atom

AlOs2Ru after structural relaxation, computed with PBE.

Unit cell a=2.843 b=2.843 c=6.899 alpha=90.00 beta=90.00 gamma=90.00
Fractional coordinates of all 4 atoms:
Ru 0.000 0.000 0.514
Os 0.000 0.000 0.991
Os 0.500 0.500 0.249
Al 0.500 0.500 0.746

## Properties
Crystal system ... tetragonal
Energy of formation from the pure elements ... -141.7 meV per atom
Space group ... P4mm
Magnetic moment ... 0.0 μB/f.u.
V ... 13.9 Å³ per atom

AlOs2Ru after structural relaxation, computed with PBE.

Unit cell a=2.728 b=2.728 c=8.757 alpha=90.00 beta=90.00 gamma=117.41
Fractional coordinates of all 4 atoms:
Ru 0.500 0.500 0.250
Os 0.000 0.000 0.991
Os 0.000 0.000 0.509
Al 0.500 0.500 0.750

## Properties
Crystal system ... orthorhombic
Energy of formation from the pure elements ... 288.3 meV per atom
Space group ... Cmmm
Magnetic moment ... 1.0 μB/f.u.
V ... 14.5 Å³ per atom

AlOs2Ru after structural relaxation, computed with PBE.

Unit cell a=8.823 b=8.823 c=8.823 alpha=17.92 beta=17.92 gamma=17.92
Fractional coordinates of all 4 atoms:
Ru 0.499 0.499 0.499
Os 0.000 0.000 0.000
Os 0.250 0.250 0.250
Al 0.751 0.751 0.751

## Properties
Crystal system ... trigonal
Energy of formation from the pure elements ... -57.9 meV per atom
Space group ... R3m
Magnetic moment ... 0.0 μB/f.u.
V ... 14.2 Å³ per atom

Number 1: density of states at the Fermi level 8.37 states/eV/cell. Number 2: density of states at the Fermi level 3.14 states/eV/cell. Number 3: density of states at the Fermi level 4.78 states/eV/cell. Number 4: density of states at the Fermi level 2.15 states/eV/cell.